Record 1
# Pr3YCd4

Crystalline Pr3YCd4 at its relaxed geometry (PBE-GGA, Alexandria).

POSCAR file:
```
Pr3YCd4
1.0
2.7198 1.5703 8.9250
-2.7198 1.5703 8.9250
0.0000 -3.1405 8.9250
Pr Y Cd
3 1 4
Cartesian
0.0000 0.0000 0.0000
0.0000 0.0000 6.6723
0.0000 0.0000 20.1027
0.0000 0.0000 13.3875
0.0000 0.0000 3.3902
0.0000 0.0000 10.0909
0.0000 0.0000 16.6841
0.0000 0.0000 23.3847
```

## Properties
The uncorrected energy comes out at -27.04 eV for the cell shown. The crystal system is trigonal. Its space group is R-3m. As for the total moment: 1.38 μB/cell. The formation enthalpy at 0 K comes out at -249.0 kJ/mol of formula units.

***

Record 2
# Pr3YCd2

Crystalline Pr3YCd2 at its relaxed geometry (PBE-GGA, Alexandria).

POSCAR file:
```
Pr3YCd2
1.0
3.8138 0.0000 0.0000
0.0000 3.8138 0.0000
0.0000 0.0000 12.8513
Pr Y Cd
3 1 2
Cartesian
0.0000 0.0000 0.0000
0.0000 0.0000 3.9677
0.0000 0.0000 8.8835
1.9069 1.9069 6.4256
1.9069 1.9069 2.0067
1.9069 1.9069 10.8446
```

## Properties
The uncorrected energy comes out at -23.79 eV for the cell shown. The crystal system is tetragonal. Its space group is P4/mmm. As for the total moment: 0.24 μB/cell. The formation enthalpy at 0 K comes out at -111.8 kJ/mol of formula units.

***

Record 3
# Pr2YCd6

Crystalline Pr2YCd6 at its relaxed geometry (PBE-GGA, Alexandria).

POSCAR file:
```
Pr2YCd6
1.0
8.7747 0.0000 0.0000
-4.3874 7.5992 0.0000
0.0000 0.0000 3.4768
Pr Y Cd
2 1 6
Cartesian
0.0000 5.0661 0.0000
4.3874 2.5330 0.0000
0.0000 0.0000 0.0000
-1.4460 2.5045 1.7384
-2.9414 5.0946 1.7384
2.8920 0.0000 1.7384
1.4460 2.5045 1.7384
5.8828 0.0000 1.7384
2.9414 5.0946 1.7384
```

## Properties
The uncorrected energy comes out at -24.58 eV for the cell shown. The crystal system is hexagonal. Its space group is P6/mmm. As for the total moment: 0.36 μB/cell. The formation enthalpy at 0 K comes out at -295.6 kJ/mol of formula units.